Entry 1:
# PBE-GGA Sm4SiRh4, optimized geometry
data_Sm4SiRh4
_symmetry_space_group_name_H-M 'P 42/n'
_symmetry_Int_Tables_number 86
_cell_length_a 8.4611
_cell_length_b 8.4611
_cell_length_c 5.6337
_cell_angle_alpha 90.00
_cell_angle_beta 90.00
_cell_angle_gamma 90.00
loop_
_symmetry_equiv_pos_as_xyz
'x,y,z'
'-x,-y,-z'
'-y,x+1/2,z+1/2'
'y,-x+1/2,-z+1/2'
'-x+1/2,-y+1/2,z'
'x+1/2,y+1/2,-z'
'y+1/2,-x,z+1/2'
'-y+1/2,x,-z+1/2'
loop_
_atom_site_label
_atom_site_type_symbol
_atom_site_fract_x
_atom_site_fract_y
_atom_site_fract_z
_atom_site_occupancy
Sm1 Sm 0.0362 0.6879 0.1095 1
Si1 Si 0.2500 0.2500 0.2500 1
Rh1 Rh 0.0185 0.3545 0.3938 1
# uncorrected energy: -6.7074 eV/atom


Entry 2:
# PBE-GGA Sm2Si4Rh5, optimized geometry
data_Sm2Si4Rh5
_symmetry_space_group_name_H-M 'F m m m'
_symmetry_Int_Tables_number 69
_symmetry_space_group_name_Hall '-F 2 2'
_cell_length_a 5.6495
_cell_length_b 9.6828
_cell_length_c 13.8612
_cell_angle_alpha 90.00
_cell_angle_beta 90.00
_cell_angle_gamma 90.00
loop_
_atom_site_label
_atom_site_type_symbol
_atom_site_fract_x
_atom_site_fract_y
_atom_site_fract_z
_atom_site_occupancy
Sm1 Sm 0.0000 0.0000 0.1311 1
Si1 Si 0.0000 0.1522 0.3677 1
Rh1 Rh 0.0000 0.0000 0.5000 1
Rh2 Rh 0.2500 0.2500 0.0000 1
Rh3 Rh 0.2500 0.2500 0.2500 1
# uncorrected energy: -7.1456 eV/atom


Entry 3:
# PBE-GGA Sm4SiRh, optimized geometry
data_Sm4SiRh
_symmetry_space_group_name_H-M 'C 1 2/c 1'
_symmetry_Int_Tables_number 15
_cell_length_a 8.9528
_cell_length_b 13.5992
_cell_length_c 6.1848
_cell_angle_alpha 90.00
_cell_angle_beta 120.50
_cell_angle_gamma 90.00
loop_
_symmetry_equiv_pos_as_xyz
'x,y,z'
'-x,-y,-z'
'-x,y,-z+1/2'
'x,-y,z+1/2'
'x+1/2,y+1/2,z'
'-x+1/2,-y+1/2,-z'
'-x+1/2,y+1/2,-z+1/2'
'x+1/2,-y+1/2,z+1/2'
loop_
_atom_site_label
_atom_site_type_symbol
_atom_site_fract_x
_atom_site_fract_y
_atom_site_fract_z
_atom_site_occupancy
Sm1 Sm 0.1240 0.1855 0.0894 1
Sm2 Sm 0.2070 0.4367 0.2992 1
Si1 Si 0.0000 0.3719 0.7500 1
Rh1 Rh 0.0000 0.0006 0.2500 1
# uncorrected energy: -5.7730 eV/atom


Entry 4:
# PBE-GGA Sm2SiRh, optimized geometry
data_Sm2SiRh
_symmetry_space_group_name_H-M 'P 4/m m m'
_symmetry_Int_Tables_number 123
_symmetry_space_group_name_Hall '-P 4 2'
_cell_length_a 4.8313
_cell_length_b 4.8313
_cell_length_c 3.7972
_cell_angle_alpha 90.00
_cell_angle_beta 90.00
_cell_angle_gamma 90.00
loop_
_atom_site_label
_atom_site_type_symbol
_atom_site_fract_x
_atom_site_fract_y
_atom_site_fract_z
_atom_site_occupancy
Sm1 Sm 0.0000 0.5000 0.0000 1
Si1 Si 0.0000 0.0000 0.5000 1
Rh1 Rh 0.5000 0.5000 0.5000 1
# uncorrected energy: -6.1539 eV/atom


Entry 5:
# PBE-GGA SmSi3Rh9, optimized geometry
data_SmSi3Rh9
_symmetry_space_group_name_H-M 'C 1 2/m 1'
_symmetry_Int_Tables_number 12
_cell_length_a 5.0789
_cell_length_b 12.7965
_cell_length_c 6.2971
_cell_angle_alpha 90.00
_cell_angle_beta 108.61
_cell_angle_gamma 90.00
loop_
_symmetry_equiv_pos_as_xyz
'x,y,z'
'-x,-y,-z'
'-x,y,-z'
'x,-y,z'
'x+1/2,y+1/2,z'
'-x+1/2,-y+1/2,-z'
'-x+1/2,y+1/2,-z'
'x+1/2,-y+1/2,z'
loop_
_atom_site_label
_atom_site_type_symbol
_atom_site_fract_x
_atom_site_fract_y
_atom_site_fract_z
_atom_site_occupancy
Sm1 Sm 0.0000 0.0000 0.0000 1
Si1 Si 0.0000 0.5000 0.5000 1
Si2 Si 0.2500 0.2500 0.0000 1
Rh1 Rh 0.0000 0.0000 0.5000 1
Rh2 Rh 0.0941 0.3873 0.2275 1
Rh3 Rh 0.1320 0.1807 0.3245 1
# uncorrected energy: -7.2695 eV/atom


Entry 6:
# PBE-GGA SmSiRh4, optimized geometry
data_SmSiRh4
_symmetry_space_group_name_H-M 'P m m a'
_symmetry_Int_Tables_number 51
_cell_length_a 7.6321
_cell_length_b 3.7676
_cell_length_c 6.8794
_cell_angle_alpha 90.00
_cell_angle_beta 90.00
_cell_angle_gamma 90.00
loop_
_symmetry_equiv_pos_as_xyz
'x,y,z'
'-x,-y,-z'
'-x+1/2,-y,z'
'x+1/2,y,-z'
'x+1/2,-y,-z'
'-x+1/2,y,z'
'-x,y,-z'
'x,-y,z'
loop_
_atom_site_label
_atom_site_type_symbol
_atom_site_fract_x
_atom_site_fract_y
_atom_site_fract_z
_atom_site_occupancy
Sm1 Sm 0.2500 0.0000 0.1297 1
Si1 Si 0.2500 0.0000 0.7027 1
Rh1 Rh 0.0000 0.0000 0.5000 1
Rh2 Rh 0.0612 0.5000 0.8019 1
Rh3 Rh 0.2500 0.5000 0.4474 1
# uncorrected energy: -7.1826 eV/atom


Entry 7:
# PBE-GGA SmSi4Rh4, optimized geometry
data_SmSi4Rh4
_symmetry_space_group_name_H-M 'I 4/m'
_symmetry_Int_Tables_number 87
_symmetry_space_group_name_Hall '-I 4'
_cell_length_a 8.3130
_cell_length_b 8.3130
_cell_length_c 4.4033
_cell_angle_alpha 90.00
_cell_angle_beta 90.00
_cell_angle_gamma 90.00
loop_
_atom_site_label
_atom_site_type_symbol
_atom_site_fract_x
_atom_site_fract_y
_atom_site_fract_z
_atom_site_occupancy
Sm1 Sm 0.0000 0.0000 0.0000 1
Si1 Si 0.1562 0.2864 0.5000 1
Rh1 Rh 0.1124 0.6283 0.5000 1
# uncorrected energy: -6.9513 eV/atom


Entry 8:
# PBE-GGA Sm3SiRh3, optimized geometry
data_Sm3SiRh3
_symmetry_space_group_name_H-M 'C 1 2/m 1'
_symmetry_Int_Tables_number 12
_cell_length_a 10.6031
_cell_length_b 4.0201
_cell_length_c 14.8133
_cell_angle_alpha 90.00
_cell_angle_beta 109.17
_cell_angle_gamma 90.00
loop_
_symmetry_equiv_pos_as_xyz
'x,y,z'
'-x,-y,-z'
'-x,y,-z'
'x,-y,z'
'x+1/2,y+1/2,z'
'-x+1/2,-y+1/2,-z'
'-x+1/2,y+1/2,-z'
'x+1/2,-y+1/2,z'
loop_
_atom_site_label
_atom_site_type_symbol
_atom_site_fract_x
_atom_site_fract_y
_atom_site_fract_z
_atom_site_occupancy
Sm1 Sm 0.0158 0.0000 0.3810 1
Sm2 Sm 0.1061 0.0000 0.9259 1
Sm3 Sm 0.2397 0.0000 0.2230 1
Si1 Si 0.2324 0.5000 0.3883 1
Rh1 Rh 0.0386 0.5000 0.2395 1
Rh2 Rh 0.1222 0.5000 0.0760 1
Rh3 Rh 0.1690 0.5000 0.5347 1
# uncorrected energy: -6.7855 eV/atom


Entry 9:
# PBE-GGA Sm2Si3Rh2, optimized geometry
data_Sm2Si3Rh2
_symmetry_space_group_name_H-M 'C 1 2/m 1'
_symmetry_Int_Tables_number 12
_cell_length_a 10.5465
_cell_length_b 4.0961
_cell_length_c 6.7915
_cell_angle_alpha 90.00
_cell_angle_beta 118.20
_cell_angle_gamma 90.00
loop_
_symmetry_equiv_pos_as_xyz
'x,y,z'
'-x,-y,-z'
'-x,y,-z'
'x,-y,z'
'x+1/2,y+1/2,z'
'-x+1/2,-y+1/2,-z'
'-x+1/2,y+1/2,-z'
'x+1/2,-y+1/2,z'
loop_
_atom_site_label
_atom_site_type_symbol
_atom_site_fract_x
_atom_site_fract_y
_atom_site_fract_z
_atom_site_occupancy
Sm1 Sm 0.1442 0.0000 0.2686 1
Si1 Si 0.0000 0.5000 0.5000 1
Si2 Si 0.1344 0.5000 0.9351 1
Rh1 Rh 0.1327 0.0000 0.7243 1
# uncorrected energy: -6.5803 eV/atom
# excess energy over the best structure of this formula in the dataset: 0.79 eV per formula unit


Entry 10:
# PBE-GGA SmSi4Rh2, optimized geometry
data_SmSi4Rh2
_symmetry_space_group_name_H-M 'P n m a'
_symmetry_Int_Tables_number 62
_cell_length_a 16.7152
_cell_length_b 4.1937
_cell_length_c 6.3957
_cell_angle_alpha 90.00
_cell_angle_beta 90.00
_cell_angle_gamma 90.00
loop_
_symmetry_equiv_pos_as_xyz
'x,y,z'
'-x,-y,-z'
'-x+1/2,-y,z+1/2'
'x+1/2,y,-z+1/2'
'x+1/2,-y+1/2,-z+1/2'
'-x+1/2,y+1/2,z+1/2'
'-x,y+1/2,-z'
'x,-y+1/2,z'
loop_
_atom_site_label
_atom_site_type_symbol
_atom_site_fract_x
_atom_site_fract_y
_atom_site_fract_z
_atom_site_occupancy
Sm1 Sm 0.1412 0.2500 0.0066 1
Si1 Si 0.0317 0.7500 0.1403 1
Si2 Si 0.0653 0.2500 0.5368 1
Si3 Si 0.1816 0.7500 0.6897 1
Si4 Si 0.1929 0.7500 0.2891 1
Rh1 Rh 0.0328 0.7500 0.7461 1
Rh2 Rh 0.2116 0.2500 0.4894 1
# uncorrected energy: -6.6267 eV/atom


Entry 11:
# PBE-GGA Sm2Si3Rh2, optimized geometry
data_Sm2Si3Rh2
_symmetry_space_group_name_H-M 'C m c m'
_symmetry_Int_Tables_number 63
_symmetry_space_group_name_Hall '-C 2c 2'
_cell_length_a 4.1654
_cell_length_b 17.7962
_cell_length_c 6.9325
_cell_angle_alpha 90.00
_cell_angle_beta 90.00
_cell_angle_gamma 90.00
loop_
_atom_site_label
_atom_site_type_symbol
_atom_site_fract_x
_atom_site_fract_y
_atom_site_fract_z
_atom_site_occupancy
Sm1 Sm 0.0000 0.0556 0.2500 1
Sm2 Sm 0.0000 0.1572 0.7500 1
Si1 Si 0.0000 0.2230 0.2500 1
Si2 Si 0.0000 0.4393 0.0717 1
Rh1 Rh 0.0000 0.3082 0.5482 1
# uncorrected energy: -6.6932 eV/atom
# excess energy over the best structure of this formula in the dataset: 0.00 eV per formula unit


Entry 12:
# PBE-GGA Sm3Si2Rh2, optimized geometry
data_Sm3Si2Rh2
_symmetry_space_group_name_H-M 'P b c m'
_symmetry_Int_Tables_number 57
_cell_length_a 5.6518
_cell_length_b 7.9111
_cell_length_c 13.2773
_cell_angle_alpha 90.00
_cell_angle_beta 90.00
_cell_angle_gamma 90.00
loop_
_symmetry_equiv_pos_as_xyz
'x,y,z'
'-x,-y,-z'
'-x,-y,z+1/2'
'x,y,-z+1/2'
'x,-y+1/2,-z'
'-x,y+1/2,z'
'-x,y+1/2,-z+1/2'
'x,-y+1/2,z+1/2'
loop_
_atom_site_label
_atom_site_type_symbol
_atom_site_fract_x
_atom_site_fract_y
_atom_site_fract_z
_atom_site_occupancy
Sm1 Sm 0.1352 0.1113 0.1025 1
Sm2 Sm 0.3648 0.7451 0.7500 1
Si1 Si 0.1485 0.0983 0.7500 1
Si2 Si 0.3781 0.7500 0.0000 1
Rh1 Rh 0.3708 0.0309 0.5902 1
# uncorrected energy: -6.5617 eV/atom


Entry 13:
# PBE-GGA SmSi4Rh6, optimized geometry
data_SmSi4Rh6
_symmetry_space_group_name_H-M 'P -6 m 2'
_symmetry_Int_Tables_number 187
_symmetry_space_group_name_Hall 'P -6 2'
_cell_length_a 7.0370
_cell_length_b 7.0370
_cell_length_c 3.8054
_cell_angle_alpha 90.00
_cell_angle_beta 90.00
_cell_angle_gamma 120.00
loop_
_atom_site_label
_atom_site_type_symbol
_atom_site_fract_x
_atom_site_fract_y
_atom_site_fract_z
_atom_site_occupancy
Sm1 Sm 0.0000 0.0000 0.0000 1
Si1 Si 0.3333 0.6667 0.0000 1
Si2 Si 0.4017 0.2009 0.5000 1
Rh1 Rh 0.1990 0.3980 0.5000 1
Rh2 Rh 0.5329 0.0657 0.0000 1
# uncorrected energy: -7.4034 eV/atom


Entry 14:
# PBE-GGA Sm3Si3Rh, optimized geometry
data_Sm3Si3Rh
_symmetry_space_group_name_H-M 'C 1 2/m 1'
_symmetry_Int_Tables_number 12
_cell_length_a 10.8384
_cell_length_b 4.3061
_cell_length_c 13.8045
_cell_angle_alpha 90.00
_cell_angle_beta 111.13
_cell_angle_gamma 90.00
loop_
_symmetry_equiv_pos_as_xyz
'x,y,z'
'-x,-y,-z'
'-x,y,-z'
'x,-y,z'
'x+1/2,y+1/2,z'
'-x+1/2,-y+1/2,-z'
'-x+1/2,y+1/2,-z'
'x+1/2,-y+1/2,z'
loop_
_atom_site_label
_atom_site_type_symbol
_atom_site_fract_x
_atom_site_fract_y
_atom_site_fract_z
_atom_site_occupancy
Sm1 Sm 0.0209 0.0000 0.3750 1
Sm2 Sm 0.1017 0.0000 0.9206 1
Sm3 Sm 0.2456 0.0000 0.2281 1
Si1 Si 0.0535 0.5000 0.2380 1
Si2 Si 0.1104 0.5000 0.0752 1
Si3 Si 0.1335 0.5000 0.5432 1
Rh1 Rh 0.2468 0.5000 0.4178 1
# uncorrected energy: -6.2736 eV/atom


Entry 15:
# PBE-GGA Sm2SiRh, optimized geometry
data_Sm2SiRh
_symmetry_space_group_name_H-M 'A m m 2'
_symmetry_Int_Tables_number 38
_cell_length_a 4.1088
_cell_length_b 4.2418
_cell_length_c 10.6262
_cell_angle_alpha 90.00
_cell_angle_beta 90.00
_cell_angle_gamma 90.00
loop_
_symmetry_equiv_pos_as_xyz
'x,y,z'
'-x,-y,z'
'-x,y,z'
'x,-y,z'
'x,y+1/2,z+1/2'
'-x,-y+1/2,z+1/2'
'-x,y+1/2,z+1/2'
'x,-y+1/2,z+1/2'
loop_
_atom_site_label
_atom_site_type_symbol
_atom_site_fract_x
_atom_site_fract_y
_atom_site_fract_z
_atom_site_occupancy
Sm1 Sm 0.0000 0.0000 0.0000 1
Sm2 Sm 0.5000 0.0000 0.2816 1
Si1 Si 0.5000 0.0000 0.5751 1
Rh1 Rh 0.0000 0.0000 0.7148 1
# uncorrected energy: -6.3390 eV/atom


Entry 16:
# PBE-GGA Tb2Sm2SiRh4, optimized geometry
data_Tb2Sm2SiRh4
_symmetry_space_group_name_H-M 'I 4/m m m'
_symmetry_Int_Tables_number 139
_symmetry_space_group_name_Hall '-I 4 2'
_cell_length_a 6.5670
_cell_length_b 6.5670
_cell_length_c 8.8184
_cell_angle_alpha 90.00
_cell_angle_beta 90.00
_cell_angle_gamma 90.00
loop_
_atom_site_label
_atom_site_type_symbol
_atom_site_fract_x
_atom_site_fract_y
_atom_site_fract_z
_atom_site_occupancy
Tb1 Tb 0.0000 0.0000 0.1833 1
Sm1 Sm 0.0000 0.5000 0.2500 1
Si1 Si 0.0000 0.0000 0.5000 1
Rh1 Rh 0.2494 0.2494 0.0000 1
# uncorrected energy: -6.5216 eV/atom


Entry 17:
# PBE-GGA SmSi3TcRh, optimized geometry
data_SmSi3TcRh
_symmetry_space_group_name_H-M 'C m c m'
_symmetry_Int_Tables_number 63
_symmetry_space_group_name_Hall '-C 2c 2'
_cell_length_a 7.5219
_cell_length_b 11.2280
_cell_length_c 5.5639
_cell_angle_alpha 90.00
_cell_angle_beta 90.00
_cell_angle_gamma 90.00
loop_
_atom_site_label
_atom_site_type_symbol
_atom_site_fract_x
_atom_site_fract_y
_atom_site_fract_z
_atom_site_occupancy
Sm1 Sm 0.0000 0.2460 0.2500 1
Si1 Si 0.0000 0.2484 0.7500 1
Si2 Si 0.2502 0.0000 0.0000 1
Tc1 Tc 0.0000 0.4468 0.7500 1
Rh1 Rh 0.0000 0.0521 0.7500 1
# uncorrected energy: -6.9163 eV/atom


Entry 18:
# PBE-GGA SmTh2Si2Rh7, optimized geometry
data_SmTh2Si2Rh7
_symmetry_space_group_name_H-M 'C 1 2/m 1'
_symmetry_Int_Tables_number 12
_cell_length_a 5.8530
_cell_length_b 5.7817
_cell_length_c 13.1233
_cell_angle_alpha 90.00
_cell_angle_beta 97.97
_cell_angle_gamma 90.00
loop_
_symmetry_equiv_pos_as_xyz
'x,y,z'
'-x,-y,-z'
'-x,y,-z'
'x,-y,z'
'x+1/2,y+1/2,z'
'-x+1/2,-y+1/2,-z'
'-x+1/2,y+1/2,-z'
'x+1/2,-y+1/2,z'
loop_
_atom_site_label
_atom_site_type_symbol
_atom_site_fract_x
_atom_site_fract_y
_atom_site_fract_z
_atom_site_occupancy
Sm1 Sm 0.0000 0.0000 0.0000 1
Th1 Th 0.0984 0.0000 0.3487 1
Si1 Si 0.0771 0.5000 0.2530 1
Rh1 Rh 0.0000 0.5000 0.0000 1
Rh2 Rh 0.1518 0.5000 0.4328 1
Rh3 Rh 0.1995 0.2503 0.8340 1
# uncorrected energy: -7.6909 eV/atom


Entry 19:
# PBE-GGA Sm2TlSi2Rh5, optimized geometry
data_Sm2TlSi2Rh5
_symmetry_space_group_name_H-M 'P 4/m b m'
_symmetry_Int_Tables_number 127
_symmetry_space_group_name_Hall '-P 4 2ab'
_cell_length_a 9.9649
_cell_length_b 9.9649
_cell_length_c 3.5479
_cell_angle_alpha 90.00
_cell_angle_beta 90.00
_cell_angle_gamma 90.00
loop_
_atom_site_label
_atom_site_type_symbol
_atom_site_fract_x
_atom_site_fract_y
_atom_site_fract_z
_atom_site_occupancy
Sm1 Sm 0.1766 0.3234 0.0000 1
Tl1 Tl 0.0000 0.0000 0.0000 1
Si1 Si 0.1205 0.6205 0.0000 1
Rh1 Rh 0.0000 0.5000 0.5000 1
Rh2 Rh 0.0692 0.7782 0.5000 1
# uncorrected energy: -6.7635 eV/atom


Number 1: ΔE_f (raw) -0.740 eV per atom, D(E_F) 12.2 states/eV/cell. Number 2: ΔE_f (raw) -0.974 eV per atom, D(E_F) 19.8 states/eV/cell. Number 3: ΔE_f (raw) -0.498 eV per atom, D(E_F) 21.7 states/eV/cell. Number 4: ΔE_f (raw) -0.601 eV per atom, D(E_F) 2.0 states/eV/cell. Number 5: ΔE_f (raw) -0.566 eV per atom, D(E_F) 23.2 states/eV/cell. Number 6: ΔE_f (raw) -0.591 eV per atom, D(E_F) 14.8 states/eV/cell. Number 7: ΔE_f (raw) -0.749 eV per atom, D(E_F) 6.0 states/eV/cell. Number 8: ΔE_f (raw) -0.838 eV per atom, D(E_F) 13.7 states/eV/cell. Number 9: ΔE_f (raw) -0.807 eV per atom, D(E_F) 8.5 states/eV/cell. Number 10: ΔE_f (raw) -0.753 eV per atom, D(E_F) 4.1 states/eV/cell. Number 11: ΔE_f (raw) -0.920 eV per atom, D(E_F) 14.4 states/eV/cell. Number 12: ΔE_f (raw) -0.889 eV per atom, D(E_F) 20.8 states/eV/cell. Number 13: ΔE_f (raw) -0.993 eV per atom, D(E_F) 4.1 states/eV/cell. Number 14: ΔE_f (raw) -0.877 eV per atom, D(E_F) 19.6 states/eV/cell. Number 15: ΔE_f (raw) -0.786 eV per atom, D(E_F) 5.6 states/eV/cell. Number 16: ΔE_f (raw) -0.574 eV per atom, D(E_F) 11.2 states/eV/cell. Number 17: ΔE_f (raw) -0.465 eV per atom, D(E_F) 11.3 states/eV/cell. Number 18: ΔE_f (raw) -0.869 eV per atom, D(E_F) 10.8 states/eV/cell. Number 19: ΔE_f (raw) -0.823 eV per atom, D(E_F) 7.5 states/eV/cell.